Entry 1:
# YTi2Ge

YTi2Ge after structural relaxation (PBE, the Alexandria database).

It has space group I-42d (No. 122), with a = 7.802 Å, b = 7.802 Å, c = 5.659 Å, α = 90.00°, β = 90.00° and γ = 90.00°. Symmetry generates all atoms from Y at (0.000, 0.000, 0.000), Ti at (0.199, 0.250, 0.625) and Ge at (0.000, 0.000, 0.500).

The calculation puts the total DFT energy (no corrections) at -6.6102 eV per atom. The value obtained for the mass density is 4.96 g/cm³. The magnetic moment is 0.50 μB/f.u. As for the density of states at the Fermi level: 6.46 states/eV/f.u.

Entry 2:
# Y3TiGe

Y3TiGe after structural relaxation (PBE, the Alexandria database).

It has space group Pm-3m (No. 221), with a = 5.423 Å, b = 5.423 Å, c = 5.423 Å, α = 90.00°, β = 90.00° and γ = 90.00°. Symmetry generates all atoms from Y at (0.000, 0.000, 0.500), Ti at (0.500, 0.500, 0.500) and Ge at (0.000, 0.000, 0.000).

The value obtained for the mass density is 4.03 g/cm³. The magnetic moment is 0.00 μB/f.u. Its energy above the lowest structure with this stoichiometry is 0.0 meV per atom. As for the density of states at the Fermi level: 19.54 states/eV/f.u.

Entry 3:
# Y3TiGe

Y3TiGe after structural relaxation (PBE, the Alexandria database).

It has space group Pm-3m (No. 221), with a = 5.254 Å, b = 5.254 Å, c = 5.254 Å, α = 90.00°, β = 90.00° and γ = 90.00°. Symmetry generates all atoms from Y at (0.000, 0.000, 0.500), Ti at (0.000, 0.000, 0.000) and Ge at (0.500, 0.500, 0.500).

The value obtained for the mass density is 4.43 g/cm³. The magnetic moment is 0.00 μB/f.u. Its energy above the lowest structure with this stoichiometry is 224.3 meV per atom. As for the density of states at the Fermi level: 4.61 states/eV/f.u.